DFT (GGA-PBE) results for a relaxed structure of Cd2SbW.

Output
The value obtained for the density of states at the Fermi level is 6.0 states/eV/cell. The value obtained for the total energy is -4.26 eV/atom. Its uncorrected formation energy is 0.470 eV/atom.

```
Cd2SbW
1.0
-6.477 -3.191 -6.505
-8.216 -3.534 -3.801
-8.114 -0.673 -5.305
Cd Sb W
2 1 1
direct
0.252 0.252 0.252
0.006 0.006 0.006
0.490 0.490 0.490
0.753 0.753 0.753
```

***

DFT (GGA-PBE) results for a relaxed structure of Cd2SbW.

Output
The value obtained for the density of states at the Fermi level is 2.9 states/eV/cell. The value obtained for the total energy is -4.10 eV/atom. Its uncorrected formation energy is 0.631 eV/atom.

```
Cd2SbW
1.0
-0.310 -2.656 5.195
4.565 -2.879 2.238
-1.805 5.127 -2.145
W Sb Cd
1 1 2
direct
0.750 0.250 0.500
0.250 0.750 0.500
0.508 0.508 0.000
0.992 0.992 0.000
```

***

DFT (GGA-PBE) results for a relaxed structure of Cd2SbW.

Output
The value obtained for the density of states at the Fermi level is 2.3 states/eV/cell. The value obtained for the total energy is -4.26 eV/atom. Its uncorrected formation energy is 0.471 eV/atom.

```
Cd2SbW
1.0
2.959 -0.025 0.000
-1.145 2.729 0.000
0.000 0.000 11.358
W Cd Sb
1 2 1
direct
0.500 0.500 0.756
0.500 0.500 0.219
0.000 0.000 0.971
0.000 0.000 0.554
```